An optimized crystal structure of RbCa2BrF4, computed with PBE. Values from VASP.

Properties
**Calculated volume**: 20.87 Å³/atom
**Space-group type**: P4/mmm (123)
**Magnetization**: 0.000 μB per atom
**Density of states at the Fermi level**: 0.0 states/eV/f.u.
**Raw formation energy**: -3.19 eV/atom
**Density**: 3.20 g/cm³

```
&SYSTEM
  ibrav = 0, nat = 8, ntyp = 4
/
ATOMIC_SPECIES
Rb 85.47 Rb.upf
Ca 40.08 Ca.upf
Br 79.90 Br.upf
F 19.00 F.upf
CELL_PARAMETERS angstrom
4.074 0.000 0.000
0.000 4.074 0.000
0.000 0.000 10.061
ATOMIC_POSITIONS crystal
Rb 0.000 0.000 0.000
Ca 0.500 0.500 0.286
Ca 0.500 0.500 0.714
Br 0.000 0.000 0.500
F 0.000 0.500 0.197
F 0.500 0.000 0.803
F 0.500 0.000 0.197
F 0.000 0.500 0.803
```